Here is a geometry-optimized Pa3Te8 structure from the Alexandria database. Energies are from PBE-GGA.

```
Pa3Te8
1.0
-4.751 0.427 5.509
-4.967 -3.511 -4.012
2.419 -6.370 2.581
Pa Te
3 8
Direct
0.500 0.000 0.500 Pa
0.000 0.500 0.500 Pa
0.500 0.500 0.000 Pa
0.747 0.253 0.253 Te
0.253 0.253 0.747 Te
0.253 0.747 0.253 Te
0.253 0.253 0.253 Te
0.747 0.747 0.747 Te
0.747 0.253 0.747 Te
0.747 0.747 0.253 Te
0.253 0.747 0.747 Te
```

Output
**Size of the total moment**: 0.28 μB/f.u.
**VASP energy**: -60.80 eV for the cell shown
**Crystal system**: cubic
**SG**: Pm-3m
**ΔE_f (raw)**: -0.653 eV per atom

Here is a geometry-optimized Pa3Te structure from the Alexandria database. Energies are from PBE-GGA.

```
Pa3Te
1.0
4.586 0.000 0.000
0.000 4.586 0.000
-2.293 -2.293 4.620
Pa Te
3 1
Direct
0.750 0.250 0.500 Pa
0.250 0.750 0.500 Pa
0.500 0.500 0.000 Pa
0.000 0.000 0.000 Te
```

Output
**Energy above the most stable polymorph in this dataset**: 0.084 eV per atom
**Size of the total moment**: 0.00 μB/f.u.
**VASP energy**: -32.73 eV for the cell shown
**Crystal system**: tetragonal
**SG**: I4/mmm
**ΔE_f (raw)**: -0.276 eV per atom

Here is a geometry-optimized Pa3Te7 structure from the Alexandria database. Energies are from PBE-GGA.

```
Pa3Te7
1.0
9.307 0.000 0.000
-3.102 8.775 0.000
-3.102 -4.388 7.600
Pa Te
6 14
Direct
0.000 0.330 0.330 Pa
0.000 0.670 0.670 Pa
0.330 0.330 0.000 Pa
0.670 0.670 0.000 Pa
0.670 0.000 0.670 Pa
0.330 0.000 0.330 Pa
0.250 0.500 0.750 Te
0.750 0.500 0.250 Te
0.500 0.750 0.250 Te
0.500 0.250 0.750 Te
0.250 0.750 0.500 Te
0.750 0.250 0.500 Te
0.000 0.335 0.000 Te
0.665 0.665 0.665 Te
0.000 0.000 0.665 Te
0.665 0.000 0.000 Te
0.335 0.000 0.000 Te
0.000 0.000 0.335 Te
0.335 0.335 0.335 Te
0.000 0.665 0.000 Te
```

Output
**Size of the total moment**: 1.72 μB/f.u.
**VASP energy**: -116.07 eV for the cell shown
**Crystal system**: cubic
**SG**: Im-3m
**ΔE_f (raw)**: -0.755 eV per atom

Here is a geometry-optimized Pa3Te structure from the Alexandria database. Energies are from PBE-GGA.

```
Pa3Te
1.0
4.579 0.000 0.000
0.000 4.579 0.000
0.000 0.000 4.579
Pa Te
3 1
Direct
0.000 0.500 0.500 Pa
0.500 0.000 0.500 Pa
0.500 0.500 0.000 Pa
0.000 0.000 0.000 Te
```

Output
**Energy above the most stable polymorph in this dataset**: 0.000 eV per atom
**Size of the total moment**: 0.00 μB/f.u.
**VASP energy**: -33.07 eV for the cell shown
**Crystal system**: cubic
**SG**: Pm-3m
**ΔE_f (raw)**: -0.360 eV per atom

Here is a geometry-optimized PaTe2 structure from the Alexandria database. Energies are from PBE-GGA.

```
PaTe2
1.0
4.007 0.000 0.000
0.000 4.007 0.000
-2.003 -2.003 5.031
Pa Te
1 2
Direct
0.500 0.500 0.000 Pa
0.158 0.158 0.315 Te
0.842 0.842 0.685 Te
```

Output
**Size of the total moment**: 0.56 μB/f.u.
**VASP energy**: -18.34 eV for the cell shown
**Crystal system**: tetragonal
**SG**: I4/mmm
**ΔE_f (raw)**: -0.852 eV per atom

Here is a geometry-optimized Pa2Te5 structure from the Alexandria database. Energies are from PBE-GGA.

```
Pa2Te5
1.0
6.908 0.000 0.000
0.000 7.897 0.121
-3.454 -1.086 8.015
Pa Te
4 10
Direct
0.183 0.409 0.780 Pa
0.402 0.091 0.220 Pa
0.817 0.591 0.220 Pa
0.598 0.909 0.780 Pa
0.198 0.426 0.177 Te
0.021 0.074 0.823 Te
0.189 0.687 0.559 Te
0.630 0.813 0.441 Te
0.811 0.313 0.441 Te
0.370 0.187 0.559 Te
0.979 0.926 0.177 Te
0.802 0.574 0.823 Te
0.602 0.250 0.000 Te
0.398 0.750 0.000 Te
```

Output
**Energy above the most stable polymorph in this dataset**: 0.000 eV per atom
**Size of the total moment**: 0.29 μB/f.u.
**VASP energy**: -80.13 eV for the cell shown
**Crystal system**: monoclinic
**SG**: C2/c
**ΔE_f (raw)**: -0.767 eV per atom